Rb2AuBrO | PBE | relaxed

The calculation puts the total energy at -2.984 eV/atom. The crystal system is monoclinic. Its space-group type is P2_1/m, No. 11.

```
Rb2AuBrO
1.0
8.117 0.000 0.000
0.000 4.565 0.000
-2.063 0.000 9.364
Rb Au Br O
4 2 2 2
Cartesian
1.610 1.141 1.122 Rb
0.895 3.424 4.897 Rb
5.158 1.141 4.468 Rb
4.443 3.424 8.242 Rb
-0.780 1.141 7.098 Au
6.834 3.424 2.266 Au
2.013 1.141 7.096 Br
4.041 3.424 2.268 Br
2.144 3.424 2.540 O
3.910 1.141 6.824 O
```